Entry 1:
Density functional theory data (GGA-PBE) for a relaxed Tb4Pm6Er crystal.

* uncorrected energy: -47.47 eV for the cell shown
* symmetry: No. 121

```
Tb4Pm6Er
1.0
7.5047 0.0000 0.0000
0.0000 7.5047 0.0000
-3.7524 -3.7524 6.8381
Tb Pm Er
4 6 1
direct
0.0857 0.7522 0.8379
0.9143 0.9143 0.1621
0.7522 0.0857 0.8379
0.2478 0.2478 0.1621
0.9124 0.4627 0.3750
0.4627 0.9124 0.3750
0.5373 0.5373 0.6250
0.0000 0.5000 0.0000
0.0876 0.0876 0.6250
0.5000 0.0000 0.0000
0.5000 0.5000 0.0000
```

Entry 2:
Density functional theory data (GGA-PBE) for a relaxed TbPm5Er3 crystal.

* uncorrected energy: -83.12 eV for the cell shown
* symmetry: No. 74

```
TbPm5Er3
1.0
9.8185 0.0000 0.0000
-4.9092 8.7080 -2.9556
0.0000 -0.4605 7.0329
Tb Pm Er
2 10 6
direct
0.6596 0.0000 0.7500
0.3404 0.0000 0.2500
0.3249 0.0000 0.7500
0.6503 0.6697 0.0848
0.0207 0.3377 0.9188
0.3497 0.3303 0.9152
0.6830 0.6623 0.5812
0.6751 0.0000 0.2500
0.0194 0.6697 0.5848
0.9806 0.3303 0.4152
0.3170 0.3377 0.4188
0.9793 0.6623 0.0812
0.0000 0.0000 0.0000
0.6635 0.3270 0.1634
0.0000 0.0000 0.5000
0.3365 0.6730 0.8366
0.6635 0.3270 0.6634
0.3365 0.6730 0.3366
```

Let's list DFT formation energy in order: 0.3746; 0.0571 eV/atom.